VASP calculation (SCAN) on a crystal of Zn2AsPb relaxed with PBEsol.

Calculated density   8.52 g cm⁻³
Fermi-level density of states   1.58 states/eV per cell
Calculated total energy   -2.2385 Ry per atom
SG   I-4m2 (119)

Structure (CIF):
```
data_Zn2AsPb
_cell_length_a 3.953
_cell_length_b 3.953
_cell_length_c 5.859
_cell_angle_alpha 109.72
_cell_angle_beta 109.72
_cell_angle_gamma 90.00
_space_group_name_H-M_alt 'P 1'
_space_group_IT_number 1
loop_
_space_group_symop_operation_xyz
'x,y,z'
loop_
_atom_site_label
_atom_site_fract_x
_atom_site_fract_y
_atom_site_fract_z
Zn1 0.750 0.250 0.500
Pb1 0.250 0.750 0.500
As1 0.500 0.500 0.000
Zn2 0.000 0.000 0.000
```